Computed, not measured: crystalline LaSi2P at its relaxed geometry at the PBE level of DFT.

Cell lengths 7.882, 7.882, 7.882 Å; angles 25.94, 25.94, 25.94 degrees
Sites, in units of the cell vectors:
La 0.000 0.000 0.000
Si 0.225 0.225 0.225
Si 0.488 0.488 0.488
P 0.766 0.766 0.766

Computed properties:
**Formation energy from raw total energies**: -107 meV/atom
**Space group**: No. 160
**Magnetization**: 0.001 μB per formula unit
**D(E_F)**: 4.231 states/eV/cell

=====

Computed, not measured: crystalline SrPmReN4 at its relaxed geometry at the PBE level of DFT.

Cell lengths 6.019, 5.940, 7.120 Å; angles 90.00, 106.63, 90.00 degrees
Sites, in units of the cell vectors:
Sr 0.216 0.250 0.426
Sr 0.784 0.750 0.574
Pm 0.297 0.250 0.954
Pm 0.703 0.750 0.046
Re 0.246 0.750 0.183
Re 0.754 0.250 0.817
N 0.051 0.750 0.339
N 0.063 0.750 0.933
N 0.447 0.508 0.222
N 0.447 0.992 0.222
N 0.553 0.008 0.778
N 0.553 0.492 0.778
N 0.937 0.250 0.067
N 0.949 0.250 0.661

Computed properties:
**Formation energy from raw total energies**: -856 meV/atom
**Space group**: No. 11
**Magnetization**: 0.000 μB per formula unit
**D(E_F)**: 0.000 states/eV/cell

=====

Computed, not measured: crystalline Ca4SmTa3N8 at its relaxed geometry at the PBE level of DFT.

Cell lengths 6.752, 6.752, 6.752 Å; angles 58.25, 58.25, 58.25 degrees
Sites, in units of the cell vectors:
Ca 0.000 0.000 0.000
Ca 0.000 0.500 0.500
Ca 0.500 0.000 0.500
Ca 0.500 0.500 0.000
Sm 0.500 0.500 0.500
Ta 0.000 0.000 0.500
Ta 0.000 0.500 0.000
Ta 0.500 0.000 0.000
N 0.212 0.751 0.751
N 0.238 0.238 0.238
N 0.249 0.249 0.788
N 0.249 0.788 0.249
N 0.751 0.212 0.751
N 0.751 0.751 0.212
N 0.762 0.762 0.762
N 0.788 0.249 0.249

Computed properties:
**Formation energy from raw total energies**: -1225 meV/atom
**Space group**: No. 166
**Magnetization**: 0.000 μB per formula unit
**D(E_F)**: 3.590 states/eV/cell